Entry from the Alexandria database: SmMgCo2 after structural relaxation (PBE).

Cell lengths 4.467, 4.467, 3.358 Å; angles 90.00, 90.00, 90.00 degrees
Sites, in units of the cell vectors:
1 Sm 0.000 0.000 0.000
2 Mg 0.500 0.500 0.000
3 Co 0.000 0.500 0.500
4 Co 0.500 0.000 0.500

## Properties
DFT formation energy in meV/atom: 130

Entry from the Alexandria database: Sm8Mg3Co2 after structural relaxation (PBE).

Cell lengths 10.672, 10.672, 3.665 Å; angles 93.24, 93.24, 60.53 degrees
Sites, in units of the cell vectors:
1 Sm 0.029 0.621 0.269
2 Sm 0.073 0.073 0.267
3 Sm 0.332 0.332 0.807
4 Sm 0.379 0.971 0.731
5 Sm 0.621 0.029 0.269
6 Sm 0.668 0.668 0.193
7 Sm 0.927 0.927 0.733
8 Sm 0.971 0.379 0.731
9 Mg 0.271 0.729 0.000
10 Mg 0.500 0.500 0.500
11 Mg 0.729 0.271 0.000
12 Co 0.220 0.220 0.254
13 Co 0.780 0.780 0.746

## Properties
DFT formation energy in meV/atom: 12

Calculated volume / Å³/cell: 67.0; 362.6
Total energy / eV per atom: -5.00; -4.35
Density of states at the Fermi level / states/eV/cell: 4.746; 14.203